Here is a relaxed structure of MgHBr2 from Alexandria via LeMat-Bulk. Energies are from PBE-GGA.

Structure (POSCAR):
```
MgHBr2
1.0
-2.716 1.767 -2.138
2.508 -2.441 -1.679
-7.761 -4.061 3.094
Br Mg H
2 1 1
Direct
0.377 0.557 0.730
0.041 0.542 0.375
0.710 0.050 0.552
0.708 0.550 0.052
```

Calculated values
The value obtained for the total energy is -2.63 eV/atom. The calculation puts the magnetic moment at 1.0 μB per cell.

=====

Here is a relaxed structure of MgHBr2 from Alexandria via LeMat-Bulk. Energies are from PBE-GGA.

Structure (POSCAR):
```
MgHBr2
1.0
2.239 0.000 9.922
-1.120 1.939 9.922
-1.120 -1.939 9.922
Br H Mg
2 1 1
Direct
0.884 0.884 0.884
0.116 0.116 0.116
0.000 0.000 0.000
0.500 0.500 0.500
```

Calculated values
The value obtained for the total energy is -2.63 eV/atom. The calculation puts the magnetic moment at 1.0 μB per cell.

=====

Here is a relaxed structure of MgHBr2 from Alexandria via LeMat-Bulk. Energies are from PBE-GGA.

Structure (POSCAR):
```
MgHBr2
1.0
3.881 0.000 0.687
1.732 3.612 1.524
0.492 2.788 8.528
H Br Mg
1 2 1
Direct
0.520 0.742 0.218
0.966 0.190 0.878
0.311 0.046 0.332
0.703 0.522 0.072
```

Calculated values
The value obtained for the total energy is -2.58 eV/atom. The calculation puts the magnetic moment at 1.0 μB per cell.

=====

Here is a relaxed structure of MgHBr from Alexandria via LeMat-Bulk. Energies are from PBE-GGA.

Structure (POSCAR):
```
MgHBr
1.0
5.383 0.000 0.000
0.000 3.529 0.000
0.000 -1.764 3.056
H Br Mg
1 1 1
Direct
0.194 0.333 0.667
0.746 0.667 0.333
0.059 0.000 0.000
```

Calculated values
The value obtained for the total energy is -2.85 eV/atom. The calculation puts the magnetic moment at 0.0 μB per cell.